(1)
# LiPmAgAu (PBE, relaxed)
# **Symmetry**: R3m (160)
# **Energy of formation from the pure elements**: -0.473 eV/atom
data_LiPmAgAu
_chemical_formula_sum 'Li1 Pm1 Ag1 Au1'
_space_group_name_H-M_alt 'P 1'
_space_group_IT_number 1
_cell_length_a 5.4097
_cell_length_b 5.4097
_cell_length_c 5.4097
_cell_angle_alpha 50.63
_cell_angle_beta 50.63
_cell_angle_gamma 50.63
loop_
_space_group_symop_operation_xyz
'x,y,z'
loop_
_atom_site_label
_atom_site_fract_x
_atom_site_fract_y
_atom_site_fract_z
Li1 0.0000 0.0000 0.0000
Pm1 0.4934 0.4934 0.4934
Ag1 0.2760 0.2760 0.2760
Au1 0.7120 0.7120 0.7120

***

(2)
# Pm6PrPb4 (PBE, relaxed)
# **Symmetry**: P-6m2 (187)
# **Energy of formation from the pure elements**: -0.398 eV/atom
data_Pm6PrPb4
_chemical_formula_sum 'Pm6 Pr1 Pb4'
_space_group_name_H-M_alt 'P 1'
_space_group_IT_number 1
_cell_length_a 9.9100
_cell_length_b 9.9100
_cell_length_c 4.3386
_cell_angle_alpha 90.00
_cell_angle_beta 90.00
_cell_angle_gamma 120.00
loop_
_space_group_symop_operation_xyz
'x,y,z'
loop_
_atom_site_label
_atom_site_fract_x
_atom_site_fract_y
_atom_site_fract_z
Pm1 0.1970 0.3940 0.0000
Pm2 0.1970 0.8030 0.0000
Pm3 0.5399 0.0798 0.5000
Pm4 0.5399 0.4601 0.5000
Pm5 0.6060 0.8030 0.0000
Pm6 0.9202 0.4601 0.5000
Pr1 0.0000 0.0000 0.5000
Pb1 0.3302 0.1651 0.0000
Pb2 0.3333 0.6667 0.5000
Pb3 0.8349 0.1651 0.0000
Pb4 0.8349 0.6698 0.0000

***

(3)
# AlSiNi2Sb (PBE, relaxed)
# **Symmetry**: P4/mmm (123)
# **Formation energy (no corrections)**: 527.2 meV per atom
data_AlSiNi2Sb
_chemical_formula_sum 'Al1 Si1 Ni2 Sb1'
_space_group_name_H-M_alt 'P 1'
_space_group_IT_number 1
_cell_length_a 4.2645
_cell_length_b 4.2645
_cell_length_c 5.4127
_cell_angle_alpha 90.00
_cell_angle_beta 90.00
_cell_angle_gamma 90.00
loop_
_space_group_symop_operation_xyz
'x,y,z'
loop_
_atom_site_label
_atom_site_fract_x
_atom_site_fract_y
_atom_site_fract_z
Al1 0.0000 0.0000 0.0000
Si1 0.5000 0.5000 0.5000
Ni1 0.0000 0.5000 0.5000
Ni2 0.5000 0.0000 0.5000
Sb1 0.5000 0.5000 0.0000

***

(4)
# Ba6Pt2S3Cl (PBE, relaxed)
# **Symmetry**: C2/m (12)
# **Formation energy (no corrections)**: -1581.3 meV per atom
data_Ba6Pt2S3Cl
_chemical_formula_sum 'Ba6 Pt2 S3 Cl1'
_space_group_name_H-M_alt 'P 1'
_space_group_IT_number 1
_cell_length_a 10.2303
_cell_length_b 10.2303
_cell_length_c 9.2885
_cell_angle_alpha 103.56
_cell_angle_beta 103.56
_cell_angle_gamma 25.66
loop_
_space_group_symop_operation_xyz
'x,y,z'
loop_
_atom_site_label
_atom_site_fract_x
_atom_site_fract_y
_atom_site_fract_z
Ba1 0.0019 0.0019 0.2657
Ba2 0.3266 0.3266 0.9103
Ba3 0.3311 0.3311 0.4139
Ba4 0.6689 0.6689 0.5861
Ba5 0.6734 0.6734 0.0897
Ba6 0.9981 0.9981 0.7343
Pt1 0.1640 0.1640 0.3302
Pt2 0.8360 0.8360 0.6698
S1 0.1614 0.1614 0.8377
S2 0.5000 0.5000 0.5000
S3 0.8386 0.8386 0.1623
Cl1 0.5000 0.5000 0.0000